Li2TlSb: optimized geometry, PBE.

Computed properties:
- energy relative to the elements, uncorrected (eV/atom) = -0.41
- symmetry = Fm-3m
- E_tot (eV/atom) = -2.994
- spin magnetization (μB per cell) = 0.00

a = 4.9921 Å, b = 4.9921 Å, c = 4.9921 Å
α = 60.00°, β = 60.00°, γ = 60.00°
Atoms (fractional coordinates):
Sb  0.2500  0.2500  0.2500
Tl  0.7500  0.7500  0.7500
Li  0.0000  0.0000  0.0000
Li  0.5000  0.5000  0.5000